(1)
This record from Alexandria via LeMat-Bulk describes a relaxed structure of LaTi2Tl2. The functional is PBE.

Geometry as CIF:
```
data_LaTi2Tl2
_symmetry_space_group_name_H-M 'I 4/m m m'
_symmetry_Int_Tables_number 139
_symmetry_space_group_name_Hall '-I 4 2'
_cell_length_a 4.340
_cell_length_b 4.340
_cell_length_c 13.435
_cell_angle_alpha 90.00
_cell_angle_beta 90.00
_cell_angle_gamma 90.00
loop_
_atom_site_label
_atom_site_type_symbol
_atom_site_fract_x
_atom_site_fract_y
_atom_site_fract_z
La1 La 0.000 0.000 0.000
Ti1 Ti 0.000 0.500 0.250
Tl1 Tl 0.000 0.000 0.390
```

Computed properties:
Energy above the most stable polymorph in this dataset: 0.0 kJ/mol of atoms
Formation energy: 0.0040 eV per atom

(2)
This record from Alexandria via LeMat-Bulk describes a relaxed structure of TbPm6NdHo2. The functional is PBE.

Geometry as CIF:
```
data_TbPm6NdHo2
_symmetry_space_group_name_H-M 'C 1 2/c 1'
_symmetry_Int_Tables_number 15
_cell_length_a 9.246
_cell_length_b 15.250
_cell_length_c 9.712
_cell_angle_alpha 90.00
_cell_angle_beta 97.90
_cell_angle_gamma 90.00
loop_
_symmetry_equiv_pos_as_xyz
'x,y,z'
'-x,-y,-z'
'-x,y,-z+1/2'
'x,-y,z+1/2'
'x+1/2,y+1/2,z'
'-x+1/2,-y+1/2,-z'
'-x+1/2,y+1/2,-z+1/2'
'x+1/2,-y+1/2,z+1/2'
loop_
_atom_site_label
_atom_site_type_symbol
_atom_site_fract_x
_atom_site_fract_y
_atom_site_fract_z
Tb1 Tb 0.000 0.029 0.250
Pm1 Pm 0.065 0.178 0.945
Pm2 Pm 0.098 0.392 0.120
Pm3 Pm 0.208 0.226 0.317
Nd1 Nd 0.000 0.407 0.750
Ho1 Ho 0.245 0.049 0.546
```

Computed properties:
Formation energy: 0.1171 eV per atom

(3)
This record from Alexandria via LeMat-Bulk describes a relaxed structure of Ac6Os2CCl3. The functional is PBE.

Geometry as CIF:
```
data_Ac6Os2CCl3
_symmetry_space_group_name_H-M 'C 1 2/m 1'
_symmetry_Int_Tables_number 12
_cell_length_a 7.364
_cell_length_b 12.746
_cell_length_c 8.237
_cell_angle_alpha 90.00
_cell_angle_beta 107.37
_cell_angle_gamma 90.00
loop_
_symmetry_equiv_pos_as_xyz
'x,y,z'
'-x,-y,-z'
'-x,y,-z'
'x,-y,z'
'x+1/2,y+1/2,z'
'-x+1/2,-y+1/2,-z'
'-x+1/2,y+1/2,-z'
'x+1/2,-y+1/2,z'
loop_
_atom_site_label
_atom_site_type_symbol
_atom_site_fract_x
_atom_site_fract_y
_atom_site_fract_z
Ac1 Ac 0.225 0.160 0.197
Ac2 Ac 0.244 0.500 0.196
Os1 Os 0.000 0.333 0.000
C1 C 0.000 0.000 0.000
Cl1 Cl 0.000 0.164 0.500
Cl2 Cl 0.000 0.500 0.500
```

Computed properties:
Formation energy (no corrections): -0.809 eV/atom

(4)
This record from Alexandria via LeMat-Bulk describes a relaxed structure of YP2Br. The functional is PBE.

Geometry as CIF:
```
data_YP2Br
_symmetry_space_group_name_H-M 'F m -3 m'
_symmetry_Int_Tables_number 225
_symmetry_space_group_name_Hall '-F 4 2 3'
_cell_length_a 6.985
_cell_length_b 6.985
_cell_length_c 6.985
_cell_angle_alpha 90.00
_cell_angle_beta 90.00
_cell_angle_gamma 90.00
loop_
_atom_site_label
_atom_site_type_symbol
_atom_site_fract_x
_atom_site_fract_y
_atom_site_fract_z
Y1 Y 0.000 0.000 0.000
P1 P 0.250 0.250 0.250
Br1 Br 0.000 0.000 0.500
```

Computed properties:
Formation energy (no corrections): 0.130 eV/atom
Energy above the most stable polymorph in this dataset: 99.8 kJ/mol of atoms

(5)
This record from Alexandria via LeMat-Bulk describes a relaxed structure of LiCd2Bi. The functional is PBE.

Geometry as CIF:
```
data_LiCd2Bi
_symmetry_space_group_name_H-M 'R -3 m'
_symmetry_Int_Tables_number 166
_symmetry_space_group_name_Hall '-R 3 2"'
_cell_length_a 3.3493
_cell_length_b 3.3493
_cell_length_c 33.2888
_cell_angle_alpha 90.00
_cell_angle_beta 90.00
_cell_angle_gamma 120.00
loop_
_atom_site_label
_atom_site_type_symbol
_atom_site_fract_x
_atom_site_fract_y
_atom_site_fract_z
Li1 Li 0.0000 0.0000 0.0000
Cd1 Cd 0.0000 0.0000 0.0815
Bi1 Bi 0.0000 0.0000 0.5000
```

Computed properties:
Formation energy: 0.0994 eV per atom

(6)
This record from Alexandria via LeMat-Bulk describes a relaxed structure of Zr3TaIn. The functional is PBE.

Geometry as CIF:
```
data_Zr3TaIn
_symmetry_space_group_name_H-M 'P m -3 m'
_symmetry_Int_Tables_number 221
_symmetry_space_group_name_Hall '-P 4 2 3'
_cell_length_a 5.184
_cell_length_b 5.184
_cell_length_c 5.184
_cell_angle_alpha 90.00
_cell_angle_beta 90.00
_cell_angle_gamma 90.00
loop_
_atom_site_label
_atom_site_type_symbol
_atom_site_fract_x
_atom_site_fract_y
_atom_site_fract_z
Zr1 Zr 0.000 0.000 0.500
Ta1 Ta 0.500 0.500 0.500
In1 In 0.000 0.000 0.000
```

Computed properties:
Energy above the most stable polymorph in this dataset: 65.3 kJ/mol of atoms
Formation energy: 1.4752 eV per atom

no.,energy (eV/cell)
1,-50.860
2,-183.544
3,-143.161
4,-73.754
5,-21.682
6,-32.860